# PBE Tb4ZnTe3, optimized geometry
data_Tb4ZnTe3
_chemical_formula_sum 'Tb8 Zn2 Te6'
_cell_length_a 8.9111
_cell_length_b 12.2700
_cell_length_c 4.2114
_cell_angle_alpha 90.00
_cell_angle_beta 90.00
_cell_angle_gamma 90.00
_space_group_name_H-M_alt 'C m m m'
_space_group_IT_number 65
_space_group_name_Hall '-C 2 2'
loop_
_atom_site_label
_atom_site_type_symbol
_atom_site_fract_x
_atom_site_fract_y
_atom_site_fract_z
_atom_site_occupancy
Tb1 Tb 0.0000 0.2381 0.0000 1
Tb2 Tb 0.2315 0.0000 0.5000 1
Zn1 Zn 0.0000 0.0000 0.0000 1
Te1 Te 0.0000 0.5000 0.0000 1
Te2 Te 0.2500 0.2500 0.5000 1
# * electronic total energy: -4.731 eV per atom
# * ΔE_f (raw): -1.08 eV per atom